No. 1
A plane-wave DFT calculation with GGA-PBE was carried out for a relaxed La14ErTh crystal.

Cell lengths 7.371, 7.371, 10.530 Å; angles 90.00, 90.00, 90.01 degrees
Positions (direct):
1 La 0.620 0.870 0.755
2 La 0.620 0.870 0.245
3 La 0.130 0.870 0.244
4 La 0.130 0.380 0.245
5 La 0.875 0.125 0.500
6 La 0.620 0.380 0.755
7 La 0.375 0.125 0.000
8 La 0.620 0.380 0.245
9 La 0.374 0.124 0.500
10 Th 0.375 0.625 0.000
11 La 0.130 0.380 0.755
12 La 0.875 0.625 0.000
13 Er 0.875 0.125 0.000
14 La 0.375 0.625 0.500
15 La 0.876 0.626 0.500
16 La 0.130 0.870 0.756

For the energy relative to the elements, the calculation gives 0.015 eV/atom. The value obtained for the density of states at the Fermi level is 1.804 states/eV/atom. The total magnetization comes out at 0.00 μB per formula unit. The space group is No. 38.



No. 2
A plane-wave DFT calculation with GGA-PBE was carried out for a relaxed Ca3ReP crystal.

Cell lengths 5.395, 5.395, 5.395 Å; angles 90.00, 90.00, 90.00 degrees
Each line ends with the local moment (μB).
Positions (direct):
1 P 0.000 0.000 0.000  0.04
2 Ca 0.000 0.000 0.500  0.01
3 Ca 0.000 0.500 0.000  0.02
4 Ca 0.500 0.000 0.000  -0.01
5 Re 0.500 0.500 0.500  2.97

For the energy relative to the elements, the calculation gives 0.487 eV/atom. The value obtained for the density of states at the Fermi level is 0.921 states/eV/atom. The total magnetization comes out at 3.88 μB per formula unit. The space group is No. 221.



No. 3
A plane-wave DFT calculation with GGA-PBE was carried out for a relaxed Ho3Ir2Pb crystal.

Cell lengths 3.377, 3.377, 12.000 Å; angles 90.00, 90.00, 90.00 degrees
Positions (direct):
1 Ho 0.000 0.000 0.711
2 Ho 0.000 0.000 0.289
3 Pb 0.500 0.500 0.500
4 Ir 0.500 0.500 0.150
5 Ir 0.500 0.500 0.850
6 Ho 0.000 0.000 0.000

For the energy relative to the elements, the calculation gives -0.740 eV/atom. The value obtained for the density of states at the Fermi level is 0.665 states/eV/atom. The total magnetization comes out at 0.00 μB per formula unit. The space group is No. 123.